An optimized crystal structure of Cs2RuF6, computed with GGA-PBE.

Computed properties:
Raw total energy ... -0.176 Ha/atom
ΔE_f (raw) ... -2.3319 eV/atom
Magnetic moment ... 2.000 μB per formula unit
V ... 22.00 A^3/atom

Geometry as CIF:
```
data_Cs2RuF6
_chemical_formula_sum 'Cs4 Ru2 F12'
_cell_length_a 6.418
_cell_length_b 8.266
_cell_length_c 8.441
_cell_angle_alpha 90.00
_cell_angle_beta 117.82
_cell_angle_gamma 90.00
_symmetry_space_group_name_H-M 'P 1 21/c 1'
_symmetry_Int_Tables_number 14
loop_
_symmetry_equiv_pos_as_xyz
'x,y,z'
'-x,-y,-z'
'-x,y+1/2,-z+1/2'
'x,-y+1/2,z+1/2'
loop_
_atom_site_label
_atom_site_type_symbol
_atom_site_fract_x
_atom_site_fract_y
_atom_site_fract_z
_atom_site_occupancy
Cs1 Cs 0.177 0.063 0.321 1
Ru1 Ru 0.500 0.000 0.000 1
F1 F 0.220 0.112 0.988 1
F2 F 0.335 0.706 0.458 1
F3 F 0.367 0.030 0.741 1
```